Entry 1:
First-principles (PBE) data for a geometry-optimized Ho3CrB7 structure, as listed in the Alexandria database.

Lattice parameters (Å, degrees): 8.067 8.067 9.318 90.00 90.00 155.46
Positions (direct):
Ho  0.105  0.895  0.560
Ho  0.105  0.895  0.940
Ho  0.241  0.759  0.250
Ho  0.759  0.241  0.750
Ho  0.895  0.105  0.060
Ho  0.895  0.105  0.440
Cr  0.053  0.947  0.250
Cr  0.947  0.053  0.750
B  0.273  0.727  0.532
B  0.273  0.727  0.968
B  0.369  0.631  0.651
B  0.369  0.631  0.849
B  0.459  0.541  0.250
B  0.479  0.521  0.596
B  0.479  0.521  0.904
B  0.521  0.479  0.096
B  0.521  0.479  0.404
B  0.541  0.459  0.750
B  0.631  0.369  0.151
B  0.631  0.369  0.349
B  0.727  0.273  0.032
B  0.727  0.273  0.468

- Total magnetic moment: 0.077 μB/atom
- Mass density: 8.21 g/cm³
- Total energy: -0.514 Ry per atom
- Volume: 11.444 Å³/atom
- Space-group type: Cmcm
- D(E_F): 2.749 states/eV/f.u.

---

Entry 2:
First-principles (PBE) data for a geometry-optimized ZnCd2As2 structure, as listed in the Alexandria database.

Lattice parameters (Å, degrees): 8.273 8.273 3.214 90.00 90.00 90.00
Positions (direct):
Zn  0.000  0.000  0.000
Zn  0.500  0.500  0.000
Cd  0.141  0.359  0.500
Cd  0.359  0.859  0.500
Cd  0.641  0.141  0.500
Cd  0.859  0.641  0.500
As  0.160  0.660  0.000
As  0.340  0.160  0.000
As  0.660  0.840  0.000
As  0.840  0.340  0.000

- Total magnetic moment: 0.000 μB/atom
- Mass density: 6.65 g/cm³
- Total energy: -0.166 Ry per atom
- Volume: 21.994 Å³/atom
- Space-group type: P4/mbm
- D(E_F): 1.988 states/eV/f.u.

---

Entry 3:
First-principles (PBE) data for a geometry-optimized HfAl2Ir structure, as listed in the Alexandria database.

Lattice parameters (Å, degrees): 5.844 5.844 5.844 102.45 102.45 124.66
Positions (direct):
Hf  0.000  0.000  0.000
Hf  0.750  0.250  0.500
Al  0.171  0.125  0.546
Al  0.375  0.829  0.954
Al  0.579  0.625  0.454
Al  0.875  0.421  0.046
Ir  0.250  0.750  0.500
Ir  0.500  0.500  0.000

- Total magnetic moment: 0.000 μB/atom
- Mass density: 9.70 g/cm³
- Total energy: -0.506 Ry per atom
- Volume: 18.170 Å³/atom
- Space-group type: I-42d
- D(E_F): 1.990 states/eV/f.u.

---

Entry 4:
First-principles (PBE) data for a geometry-optimized CuAgPb2S structure, as listed in the Alexandria database.

Lattice parameters (Å, degrees): 5.604 5.604 4.726 90.00 90.00 90.00
Positions (direct):
Cu  0.000  0.000  0.000
Ag  0.500  0.500  0.500
Pb  0.000  0.500  0.500
Pb  0.500  0.000  0.500
S  0.500  0.500  0.000

- Total magnetic moment: 0.000 μB/atom
- Mass density: 6.91 g/cm³
- Volume: 29.682 Å³/atom
- Uncorrected formation energy: 652 meV/atom
- Space-group type: P4/mmm
- D(E_F): 3.754 states/eV/f.u.